Computed, not measured: an optimized crystal structure of SiSbCl2 at the PBE level of DFT.

```
SiSbCl2
1.0
1.688 0.975 9.549
-1.688 0.975 9.549
0.000 -1.950 9.549
Si Sb Cl
1 1 2
Direct
0.000 0.000 0.000 Si
0.500 0.500 0.500 Sb
0.407 0.407 0.407 Cl
0.593 0.593 0.593 Cl
```

## Properties
Relative energy among the computed polymorphs, meV per atom: 460.7
Formation energy without anion corrections, eV per formula unit: 0.115
E_tot, eV per atom: -3.281

***

Computed, not measured: an optimized crystal structure of SiSbCl2 at the PBE level of DFT.

```
SiSbCl2
1.0
1.612 -2.968 0.000
1.612 2.968 0.000
0.000 0.000 10.272
Si Sb Cl
1 1 2
Direct
0.000 0.000 0.000 Si
0.500 0.500 0.262 Sb
0.000 0.000 0.472 Cl
0.500 0.500 0.825 Cl
```

## Properties
Relative energy among the computed polymorphs, meV per atom: 437.2
Formation energy without anion corrections, eV per formula unit: 0.021
E_tot, eV per atom: -3.304

***

Computed, not measured: an optimized crystal structure of SiSbTe2Cl at the PBE level of DFT.

```
SiSbTe2Cl
1.0
5.226 0.000 0.000
0.000 5.226 0.000
0.000 0.000 5.369
Si Sb Te Cl
1 1 2 1
Direct
0.000 0.000 0.000 Si
0.000 0.000 0.500 Sb
0.000 0.500 0.000 Te
0.500 0.000 0.000 Te
0.500 0.500 0.500 Cl
```

## Properties
Relative energy among the computed polymorphs, meV per atom: 0.0
Formation energy without anion corrections, eV per formula unit: 2.117
E_tot, eV per atom: -3.112

***

Computed, not measured: an optimized crystal structure of Si2SbWCl at the PBE level of DFT.

```
Si2SbWCl
1.0
5.157 0.000 0.000
0.000 5.157 0.000
0.000 0.000 4.950
Si Sb W Cl
2 1 1 1
Direct
0.000 0.500 0.000 Si
0.500 0.000 0.000 Si
0.000 0.000 0.000 Sb
0.500 0.500 0.500 W
0.000 0.000 0.500 Cl
```

## Properties
Formation energy without anion corrections, eV per formula unit: 9.243
E_tot, eV per atom: -4.105

***

Computed, not measured: an optimized crystal structure of SiSbWCl2 at the PBE level of DFT.

```
SiSbWCl2
1.0
4.528 0.000 0.000
0.000 4.528 0.000
0.000 0.000 5.554
Si Sb W Cl
1 1 1 2
Direct
0.000 0.000 0.000 Si
0.500 0.500 0.500 Sb
0.000 0.000 0.500 W
0.000 0.500 0.000 Cl
0.500 0.000 0.000 Cl
```

## Properties
Formation energy without anion corrections, eV per formula unit: 4.048
E_tot, eV per atom: -4.429

***

Computed, not measured: an optimized crystal structure of ZrSi2SbCl at the PBE level of DFT.

```
ZrSi2SbCl
1.0
5.135 0.000 0.000
0.000 5.135 0.000
0.000 0.000 5.548
Zr Si Sb Cl
1 2 1 1
Direct
0.000 0.000 0.000 Zr
0.000 0.500 0.500 Si
0.500 0.000 0.500 Si
0.000 0.000 0.500 Sb
0.500 0.500 0.000 Cl
```

## Properties
Formation energy without anion corrections, eV per formula unit: 4.959
E_tot, eV per atom: -4.081

***

Computed, not measured: an optimized crystal structure of Sm2SbCl at the PBE level of DFT.

```
Sm2SbCl
1.0
2.196 1.268 6.597
-2.196 1.268 6.597
0.000 -2.535 6.597
Sm Sb Cl
2 1 1
Direct
0.244 0.244 0.244 Sm
0.756 0.756 0.756 Sm
0.000 0.000 0.000 Sb
0.500 0.500 0.500 Cl
```

## Properties
Relative energy among the computed polymorphs, meV per atom: 0.0
Formation energy without anion corrections, eV per formula unit: -4.942
E_tot, eV per atom: -5.087

***

Computed, not measured: an optimized crystal structure of Sm6Sb5Cl at the PBE level of DFT.

```
Sm6Sb5Cl
1.0
3.846 -6.648 0.000
3.846 6.648 0.000
-2.562 0.000 7.234
Sm Sb Cl
6 5 1
Direct
0.076 0.416 0.747 Sm
0.244 0.244 0.255 Sm
0.416 0.076 0.747 Sm
0.584 0.924 0.253 Sm
0.756 0.756 0.745 Sm
0.924 0.584 0.253 Sm
0.000 0.000 0.500 Sb
0.167 0.833 0.000 Sb
0.335 0.665 0.500 Sb
0.665 0.335 0.500 Sb
0.833 0.167 0.000 Sb
0.500 0.500 0.000 Cl
```

## Properties
Formation energy without anion corrections, eV per formula unit: -14.841
E_tot, eV per atom: -5.468

***

Computed, not measured: an optimized crystal structure of Sm2SbCl at the PBE level of DFT.

```
Sm2SbCl
1.0
2.115 1.221 7.520
-2.115 1.221 7.520
0.000 -2.442 7.520
Sm Sb Cl
2 1 1
Direct
0.000 0.000 0.000 Sm
0.175 0.175 0.175 Sm
0.589 0.589 0.589 Sb
0.419 0.419 0.419 Cl
```

## Properties
Relative energy among the computed polymorphs, meV per atom: 68.0
Formation energy without anion corrections, eV per formula unit: -4.670
E_tot, eV per atom: -5.019

***

Computed, not measured: an optimized crystal structure of Sm2SbCl2 at the PBE level of DFT.

```
Sm2SbCl2
1.0
2.132 1.231 10.303
-2.132 1.231 10.303
0.000 -2.462 10.303
Sm Sb Cl
2 1 2
Direct
0.108 0.108 0.108 Sm
0.892 0.892 0.892 Sm
0.500 0.500 0.500 Sb
0.276 0.276 0.276 Cl
0.724 0.724 0.724 Cl
```

## Properties
Formation energy without anion corrections, eV per formula unit: -8.373
E_tot, eV per atom: -5.125

***

Computed, not measured: an optimized crystal structure of Sn2Sb2Cl at the PBE level of DFT.

```
Sn2Sb2Cl
1.0
-2.268 2.268 7.613
2.268 -2.268 7.613
2.268 2.268 -7.613
Sn Sb Cl
2 2 1
Direct
0.108 0.108 0.000 Sn
0.892 0.892 0.000 Sn
0.250 0.750 0.500 Sb
0.750 0.250 0.500 Sb
0.500 0.500 0.000 Cl
```

## Properties
Relative energy among the computed polymorphs, meV per atom: 0.0
Formation energy without anion corrections, eV per formula unit: -0.696
E_tot, eV per atom: -3.759

***

Computed, not measured: an optimized crystal structure of SnSb3Cl at the PBE level of DFT.

```
SnSb3Cl
1.0
5.368 0.000 0.000
0.000 5.368 0.000
0.000 0.000 5.368
Sn Sb Cl
1 3 1
Direct
0.000 0.000 0.000 Sn
0.000 0.500 0.500 Sb
0.500 0.000 0.500 Sb
0.500 0.500 0.000 Sb
0.500 0.500 0.500 Cl
```

## Properties
Relative energy among the computed polymorphs, meV per atom: 0.0
Formation energy without anion corrections, eV per formula unit: 3.166
E_tot, eV per atom: -3.010

***

What did the first record say?
Computed, not measured: an optimized crystal structure of SiSbCl2 at the PBE level of DFT.

```
SiSbCl2
1.0
1.688 0.975 9.549
-1.688 0.975 9.549
0.000 -1.950 9.549
Si Sb Cl
1 1 2
Direct
0.000 0.000 0.000 Si
0.500 0.500 0.500 Sb
0.407 0.407 0.407 Cl
0.593 0.593 0.593 Cl
```

## Properties
Relative energy among the computed polymorphs, meV per atom: 460.7
Formation energy without anion corrections, eV per formula unit: 0.115
E_tot, eV per atom: -3.281

***

Question: Among the records above, which one has the lowest formation energy without anion corrections?
Answer: Sm6Sb5Cl

***

Question: The lowest E_tot belongs to which entry?
Answer: Sm6Sb5Cl

***

What did the twelfth record say?
Computed, not measured: an optimized crystal structure of SnSb3Cl at the PBE level of DFT.

```
SnSb3Cl
1.0
5.368 0.000 0.000
0.000 5.368 0.000
0.000 0.000 5.368
Sn Sb Cl
1 3 1
Direct
0.000 0.000 0.000 Sn
0.000 0.500 0.500 Sb
0.500 0.000 0.500 Sb
0.500 0.500 0.000 Sb
0.500 0.500 0.500 Cl
```

## Properties
Relative energy among the computed polymorphs, meV per atom: 0.0
Formation energy without anion corrections, eV per formula unit: 3.166
E_tot, eV per atom: -3.010